# 1
Material: UIn2F11
Method: DFT, PBE
State: optimized geometry

## Properties
The uncorrected energy comes out at -154.70 eV per cell. The value obtained for the formation energy without anion corrections is -2857 meV/atom.

abc: 8.405 8.405 8.405
angles: 124.93 106.92 97.83
Fractional positions:
U: 0.250 0.250 0.000
U: 0.750 0.750 0.000
In: 0.182 0.632 0.814
In: 0.318 0.132 0.450
In: 0.682 0.868 0.550
In: 0.818 0.368 0.186
F: 0.000 0.500 0.500
F: 0.029 0.946 0.280
F: 0.072 0.344 0.149
F: 0.165 0.446 0.917
F: 0.195 0.923 0.851
F: 0.222 0.366 0.589
F: 0.278 0.866 0.144
F: 0.305 0.156 0.728
F: 0.335 0.252 0.280
F: 0.428 0.577 0.272
F: 0.471 0.752 0.917
F: 0.500 0.000 0.500
F: 0.529 0.248 0.083
F: 0.572 0.423 0.728
F: 0.665 0.748 0.720
F: 0.695 0.844 0.272
F: 0.722 0.134 0.856
F: 0.778 0.634 0.411
F: 0.805 0.077 0.149
F: 0.835 0.554 0.083
F: 0.928 0.656 0.851
F: 0.971 0.054 0.720

# 2
Material: U2InF8
Method: DFT, PBE
State: optimized geometry

## Properties
The uncorrected energy comes out at -75.75 eV per cell. The value obtained for the formation energy without anion corrections is -3224 meV/atom.

abc: 6.687 6.687 4.529
angles: 94.80 94.80 113.88
Fractional positions:
U: 0.176 0.824 0.000
U: 0.824 0.176 0.000
In: 0.500 0.500 0.500
F: 0.099 0.099 0.263
F: 0.163 0.457 0.939
F: 0.229 0.771 0.500
F: 0.457 0.163 0.939
F: 0.543 0.837 0.061
F: 0.771 0.229 0.500
F: 0.837 0.543 0.061
F: 0.901 0.901 0.737

# 3
Material: UIn2F6
Method: DFT, PBE
State: optimized geometry

## Properties
The uncorrected energy comes out at -157.38 eV per cell. The value obtained for the formation energy without anion corrections is -2718 meV/atom.

abc: 11.603 11.603 5.375
angles: 90.00 90.00 120.00
Fractional positions:
U: 0.000 0.000 0.000
U: 0.333 0.667 0.525
U: 0.667 0.333 0.475
In: 0.000 0.346 0.000
In: 0.000 0.654 0.000
In: 0.346 0.000 0.000
In: 0.346 0.346 0.000
In: 0.654 0.000 0.000
In: 0.654 0.654 0.000
F: 0.096 0.193 0.203
F: 0.096 0.904 0.203
F: 0.154 0.577 0.299
F: 0.193 0.096 0.797
F: 0.243 0.487 0.758
F: 0.243 0.757 0.758
F: 0.423 0.577 0.299
F: 0.423 0.846 0.299
F: 0.487 0.243 0.242
F: 0.513 0.757 0.758
F: 0.577 0.154 0.701
F: 0.577 0.423 0.701
F: 0.757 0.243 0.242
F: 0.757 0.513 0.242
F: 0.807 0.904 0.203
F: 0.846 0.423 0.701
F: 0.904 0.096 0.797
F: 0.904 0.807 0.797